La8Tl2In after structural relaxation, computed with PBE.

Cell: 5.252 9.059 9.388 Å, 118.86 106.25 90.00°
Positions (direct):
In: 0.500 0.000 0.000
La: 0.000 0.676 0.000
La: 0.345 0.571 0.690
La: 0.345 0.119 0.690
La: 0.655 0.429 0.310
La: 0.858 0.858 0.717
La: 0.655 0.881 0.310
La: 0.142 0.142 0.283
La: 0.000 0.324 0.000
Tl: 0.804 0.304 0.609
Tl: 0.196 0.696 0.391

**Formation energy**: -216 meV/atom
**Excess energy over the best structure of this formula in the dataset**: 0 meV per atom



Er3NpAs4 after structural relaxation, computed with PBE.

Cell: 7.074 7.077 8.174 Å, 90.00 90.00 109.51°
Site moments in Bohr magnetons follow the coordinates.
Positions (direct):
As: 0.999 0.250 0.625  0.04
As: 0.999 0.751 0.876  0.06
As: 0.001 0.249 0.124  0.06
As: 0.499 0.751 0.124  0.06
As: 0.501 0.249 0.876  0.06
As: 0.001 0.750 0.375  0.04
As: 0.501 0.750 0.625  0.04
As: 0.499 0.250 0.375  0.04
Er: 0.250 0.500 0.376  0.00
Er: 0.750 0.500 0.127  -0.01
Er: 0.250 0.500 0.873  -0.01
Er: 0.250 0.000 0.624  -0.02
Er: 0.750 0.500 0.624  0.00
Er: 0.750 0.000 0.376  -0.02
Np: 0.250 0.000 0.126  -3.66
Np: 0.750 0.000 0.874  -3.66

**Formation energy**: -1301 meV/atom



Pm4PdS2Cl after structural relaxation, computed with PBE.

Cell: 3.972 7.247 7.103 Å, 71.49 90.00 90.00°
Positions (direct):
Pm: 0.500 0.772 0.238
Pm: 0.000 0.756 0.755
Pm: 0.000 0.244 0.245
Pm: 0.500 0.228 0.762
Cl: 0.000 0.500 0.500
S: 0.000 0.000 0.000
S: 0.500 0.000 0.500
Pd: 0.500 0.500 0.000

**Uncorrected formation energy**: -1195.7 kJ/mol of formula units



Nd2PuHg after structural relaxation, computed with PBE.

Cell: 3.650 3.650 8.925 Å, 90.00 90.00 90.00°
Site moments in Bohr magnetons follow the coordinates.
Positions (direct):
Nd: 0.000 0.000 0.768  0.06
Nd: 0.000 0.000 0.232  0.06
Pu: 0.500 0.500 0.500  5.57
Hg: 0.500 0.500 0.000  -0.01

**Formation energy**: -114 meV/atom
**Excess energy over the best structure of this formula in the dataset**: 0 meV per atom



Hf4BeN after structural relaxation, computed with PBE.

Cell: 5.921 5.953 5.815 Å, 90.00 97.27 90.00°
Positions (direct):
Hf: 0.683 0.660 0.623
Hf: 0.894 0.643 0.167
Hf: 0.317 0.340 0.377
Hf: 0.183 0.840 0.623
Hf: 0.606 0.143 0.833
Hf: 0.817 0.160 0.377
Hf: 0.394 0.857 0.167
Hf: 0.106 0.357 0.833
Be: 0.500 0.500 0.000
Be: 0.000 0.000 0.000
N: 0.500 0.000 0.500
N: 0.000 0.500 0.500

**Uncorrected formation energy**: -282.2 kJ/mol of formula units



Pr6SnO12 after structural relaxation, computed with PBE.

Cell: 6.831 6.831 6.831 Å, 98.97 98.97 98.97°
Site moments in Bohr magnetons follow the coordinates.
Positions (direct):
O: 0.588 0.443 0.177  0.22
O: 0.177 0.588 0.443  0.22
O: 0.302 0.952 0.064  0.08
O: 0.412 0.557 0.823  0.22
O: 0.823 0.412 0.557  0.22
O: 0.048 0.936 0.698  0.08
O: 0.936 0.698 0.048  0.08
O: 0.443 0.177 0.588  0.22
O: 0.064 0.302 0.952  0.08
O: 0.952 0.064 0.302  0.08
O: 0.557 0.823 0.412  0.22
O: 0.698 0.048 0.936  0.08
Pr: 0.862 0.708 0.392  -0.01
Pr: 0.138 0.292 0.608  -0.01
Pr: 0.292 0.608 0.138  -0.01
Pr: 0.608 0.138 0.292  -0.01
Pr: 0.708 0.392 0.862  -0.01
Pr: 0.392 0.862 0.708  -0.01
Sn: 0.000 0.000 0.000  -0.01

**Uncorrected formation energy**: -5225.4 kJ/mol of formula units



TbPrNd2S4 after structural relaxation, computed with PBE.

Cell: 4.005 7.015 7.047 Å, 71.01 90.00 90.00°
Positions (direct):
S: 0.500 0.741 0.261
S: 0.000 0.253 0.257
S: 0.500 0.259 0.739
S: 0.000 0.747 0.743
Nd: 0.000 0.000 0.000
Nd: 0.500 0.000 0.500
Pr: 0.500 0.500 0.000
Tb: 0.000 0.500 0.500

**Uncorrected formation energy**: -1554.7 kJ/mol of formula units



Be2ZnRh after structural relaxation, computed with PBE.

Cell: 2.649 2.649 7.655 Å, 90.00 90.00 116.74°
Positions (direct):
Be: 0.500 0.500 0.246
Be: 0.000 0.000 0.019
Zn: 0.500 0.500 0.761
Rh: 0.000 0.000 0.474

**Formation energy**: 88 meV/atom



SbSeNF2 after structural relaxation, computed with PBE.

Cell: 4.243 4.243 4.433 Å, 90.00 90.00 90.00°
Site moments in Bohr magnetons follow the coordinates.
Positions (direct):
N: 0.000 0.000 0.500  0.01
Sb: 0.000 0.000 0.000  0.00
Se: 0.500 0.500 0.500  0.37
F: 0.500 0.000 0.000  0.02
F: 0.000 0.500 0.000  0.02

**Uncorrected formation energy**: -82.4 kJ/mol of formula units
**Excess energy over the best structure of this formula in the dataset**: 0 meV per atom



ZnCo2Br after structural relaxation, computed with PBE.

Cell: 4.300 4.300 4.300 Å, 60.00 60.00 60.00°
Site moments in Bohr magnetons follow the coordinates.
Positions (direct):
Co: 0.250 0.250 0.250  1.33
Co: 0.750 0.750 0.750  1.33
Br: 0.500 0.500 0.500  0.10
Zn: 0.000 0.000 0.000  -0.05

**Uncorrected formation energy**: 254.5 kJ/mol of formula units
**Excess energy over the best structure of this formula in the dataset**: 390 meV per atom



NbReRh2Pb after structural relaxation, computed with PBE.

Cell: 4.810 4.810 4.833 Å, 90.00 90.00 90.00°
Site moments in Bohr magnetons follow the coordinates.
Positions (direct):
Nb: 0.000 0.000 0.000  -0.10
Re: 0.000 0.000 0.500  1.11
Pb: 0.500 0.500 0.500  -0.01
Rh: 0.000 0.500 0.000  0.07
Rh: 0.500 0.000 0.000  0.07

**Formation energy**: 1270 meV/atom



CeDyHfTh after structural relaxation, computed with PBE.

Cell: 5.442 5.442 5.442 Å, 60.00 60.00 60.00°
Site moments in Bohr magnetons follow the coordinates.
Positions (direct):
Dy: 0.750 0.750 0.750  0.04
Th: 0.000 0.000 0.000  0.03
Hf: 0.250 0.250 0.250  0.02
Ce: 0.500 0.500 0.500  0.50

**Formation energy**: 238 meV/atom



Tb7Ga2Ge2 after structural relaxation, computed with PBE.

Cell: 6.664 7.193 6.664 Å, 90.00 107.84 90.00°
Positions (direct):
Tb: 0.500 0.264 0.500
Tb: 0.500 0.720 0.000
Tb: 0.500 0.280 0.000
Tb: 0.000 0.280 0.500
Tb: 0.000 0.000 0.000
Tb: 0.500 0.736 0.500
Tb: 0.000 0.720 0.500
Ga: 0.832 0.500 0.832
Ga: 0.168 0.500 0.168
Ge: 0.289 0.000 0.711
Ge: 0.711 0.000 0.289

**Formation energy**: -356 meV/atom



Li3Ca4Cd after structural relaxation, computed with PBE.

Cell: 3.928 3.928 15.707 Å, 90.00 90.00 90.00°
Positions (direct):
Ca: 0.000 0.000 0.118
Ca: 0.000 0.000 0.374
Ca: 0.000 0.000 0.882
Ca: 0.000 0.000 0.626
Li: 0.500 0.500 0.754
Li: 0.500 0.500 0.246
Li: 0.500 0.500 0.500
Cd: 0.500 0.500 0.000

**Formation energy**: -85 meV/atom
**Excess energy over the best structure of this formula in the dataset**: 0 meV per atom



Sm8Dy3Er after structural relaxation, computed with PBE.

Cell: 11.952 12.645 9.761 Å, 147.07 90.00 118.20°
Positions (direct):
Sm: 0.680 0.856 0.022
Sm: 0.825 0.144 0.978
Sm: 0.320 0.144 0.978
Sm: 0.821 0.641 0.977
Sm: 0.179 0.359 0.023
Sm: 0.175 0.856 0.022
Sm: 0.321 0.642 0.973
Sm: 0.679 0.358 0.027
Er: 0.000 0.000 0.000
Dy: 0.000 0.500 0.000
Dy: 0.500 0.000 0.000
Dy: 0.500 0.500 0.000

**Formation energy**: 121 meV/atom



PrDy2Pb9 after structural relaxation, computed with PBE.

Cell: 4.908 4.908 14.668 Å, 90.00 90.00 90.00°
Positions (direct):
Pb: 0.500 0.500 0.000
Pb: 0.000 0.500 0.829
Pb: 0.500 0.000 0.829
Pb: 0.500 0.500 0.336
Pb: 0.500 0.000 0.171
Pb: 0.500 0.500 0.664
Pb: 0.500 0.000 0.500
Pb: 0.000 0.500 0.500
Pb: 0.000 0.500 0.171
Pr: 0.000 0.000 0.000
Dy: 0.000 0.000 0.665
Dy: 0.000 0.000 0.335

**Formation energy**: -313 meV/atom



La2Cu2Pt after structural relaxation, computed with PBE.

Cell: 4.192 5.816 10.553 Å, 86.84 78.54 68.87°
Positions (direct):
La: 0.696 0.247 0.361
La: 0.084 0.716 0.115
La: 0.304 0.753 0.639
La: 0.916 0.284 0.885
Cu: 0.622 0.863 0.892
Cu: 0.957 0.665 0.422
Cu: 0.043 0.335 0.578
Cu: 0.378 0.137 0.108
Pt: 0.582 0.149 0.687
Pt: 0.418 0.851 0.313

**Formation energy**: -562 meV/atom
**Excess energy over the best structure of this formula in the dataset**: 0 meV per atom



Cu2IrPd after structural relaxation, computed with PBE.

Cell: 2.705 2.705 7.421 Å, 90.00 90.00 90.00°
Positions (direct):
Cu: 0.000 0.000 0.247
Cu: 0.000 0.000 0.753
Pd: 0.500 0.500 0.500
Ir: 0.500 0.500 0.000

**Formation energy**: 83 meV/atom
**Excess energy over the best structure of this formula in the dataset**: 56 meV per atom



ZrCd4Hg5 after structural relaxation, computed with PBE.

Cell: 3.588 3.588 17.969 Å, 90.00 90.00 90.00°
Positions (direct):
Hg: 0.500 0.500 0.904
Hg: 0.500 0.500 0.295
Hg: 0.500 0.500 0.705
Hg: 0.500 0.500 0.500
Hg: 0.500 0.500 0.096
Cd: 0.000 0.000 0.193
Cd: 0.000 0.000 0.602
Cd: 0.000 0.000 0.807
Cd: 0.000 0.000 0.398
Zr: 0.000 0.000 0.000

**Formation energy**: 12 meV/atom



SrBi3Au after structural relaxation, computed with PBE.

Cell: 6.067 6.067 6.067 Å, 90.00 90.00 90.00°
Positions (direct):
Bi: 0.000 0.500 0.000
Bi: 0.000 0.000 0.500
Bi: 0.500 0.000 0.000
Au: 0.500 0.500 0.500
Sr: 0.000 0.000 0.000

**Formation energy**: 940 meV/atom
**Excess energy over the best structure of this formula in the dataset**: 1297 meV per atom



SrGe3Bi after structural relaxation, computed with PBE.

Cell: 5.549 5.549 5.549 Å, 90.00 90.00 90.00°
Positions (direct):
Ge: 0.000 0.000 0.500
Ge: 0.000 0.500 0.000
Ge: 0.500 0.000 0.000
Bi: 0.000 0.000 0.000
Sr: 0.500 0.500 0.500

**Formation energy**: 496 meV/atom
**Excess energy over the best structure of this formula in the dataset**: 0 meV per atom



Ca8In2Pd after structural relaxation, computed with PBE.

Cell: 5.483 7.273 9.750 Å, 108.06 106.33 90.00°
Positions (direct):
In: 0.181 0.707 0.362
In: 0.819 0.293 0.638
Ca: 0.652 0.951 0.304
Ca: 0.404 0.574 0.808
Ca: 0.205 0.288 0.411
Ca: 0.795 0.712 0.589
Ca: 0.021 0.787 0.042
Ca: 0.596 0.426 0.192
Ca: 0.979 0.213 0.958
Ca: 0.348 0.049 0.696
Pd: 0.500 0.000 0.000

**Formation energy**: -340 meV/atom



KHgB2Te after structural relaxation, computed with PBE.

Cell: 5.409 6.228 5.409 Å, 90.00 90.00 90.00°
Site moments in Bohr magnetons follow the coordinates.
Positions (direct):
K: 0.000 0.000 0.000  0.06
B: 0.000 0.000 0.500  0.18
B: 0.500 0.000 0.000  0.33
Hg: 0.500 0.500 0.500  -0.03
Te: 0.000 0.500 0.000  -0.16

**Uncorrected formation energy**: 1085.3 kJ/mol of formula units